No. 1
First-principles (GGA-PBE) data for a geometry-optimized PmNdS2O structure, as listed in the Alexandria database.

Results
**Calculated volume**: 229.0 Å³ per cell
**Energy**: -7.0220 eV/atom
**Theoretical density**: 5.36 g cm⁻³
**SG**: P4/nmm (129)
**ΔE_f (raw)**: -2.48 eV/atom

```
data_PmNdS2O
_chemical_formula_sum 'Pm2 Nd2 S4 O2'
_symmetry_space_group_name_H-M 'P 1'
_symmetry_Int_Tables_number 1
_cell_length_a 3.998
_cell_length_b 3.998
_cell_length_c 14.332
_cell_angle_alpha 90.00
_cell_angle_beta 90.00
_cell_angle_gamma 90.00
loop_
_symmetry_equiv_pos_as_xyz
'x,y,z'
loop_
_atom_site_label
_atom_site_type_symbol
_atom_site_fract_x
_atom_site_fract_y
_atom_site_fract_z
_atom_site_occupancy
Pm1 Pm 0.250 0.250 0.083 1
Pm2 Pm 0.750 0.750 0.917 1
Nd1 Nd 0.250 0.250 0.628 1
Nd2 Nd 0.750 0.750 0.372 1
S1 S 0.250 0.250 0.409 1
S2 S 0.250 0.250 0.809 1
S3 S 0.750 0.750 0.191 1
S4 S 0.750 0.750 0.591 1
O1 O 0.250 0.750 0.000 1
O2 O 0.750 0.250 0.000 1
```

---

No. 2
First-principles (GGA-PBE) data for a geometry-optimized TcSb structure, as listed in the Alexandria database.

Results
**Relative energy among the computed polymorphs**: 179 meV per atom
**Calculated volume**: 117.8 Å³ per cell
**Energy**: -7.0053 eV/atom
**Theoretical density**: 9.29 g cm⁻³
**SG**: Cm (8)
**ΔE_f (raw)**: 0.24 eV/atom

```
data_TcSb
_chemical_formula_sum 'Tc3 Sb3'
_symmetry_space_group_name_H-M 'P 1'
_symmetry_Int_Tables_number 1
_cell_length_a 5.608
_cell_length_b 5.608
_cell_length_c 6.978
_cell_angle_alpha 96.65
_cell_angle_beta 96.65
_cell_angle_gamma 32.75
loop_
_symmetry_equiv_pos_as_xyz
'x,y,z'
loop_
_atom_site_label
_atom_site_type_symbol
_atom_site_fract_x
_atom_site_fract_y
_atom_site_fract_z
_atom_site_occupancy
Tc1 Tc 0.000 0.000 0.000 1
Tc2 Tc 0.583 0.583 0.287 1
Tc3 Tc 0.886 0.886 0.348 1
Sb1 Sb 0.238 0.238 0.550 1
Sb2 Sb 0.281 0.281 0.050 1
Sb3 Sb 0.511 0.511 0.668 1
```

---

No. 3
First-principles (GGA-PBE) data for a geometry-optimized TbTm4Cd2 structure, as listed in the Alexandria database.

Results
**Calculated volume**: 223.1 Å³ per cell
**Energy of formation**: 0.22 eV/atom
**Energy**: -3.2556 eV/atom
**Theoretical density**: 7.88 g cm⁻³
**SG**: R-3m (166)

```
data_TbTm4Cd2
_chemical_formula_sum 'Tb1 Tm4 Cd2'
_symmetry_space_group_name_H-M 'P 1'
_symmetry_Int_Tables_number 1
_cell_length_a 10.557
_cell_length_b 10.557
_cell_length_c 10.557
_cell_angle_alpha 27.61
_cell_angle_beta 27.61
_cell_angle_gamma 27.61
loop_
_symmetry_equiv_pos_as_xyz
'x,y,z'
loop_
_atom_site_label
_atom_site_type_symbol
_atom_site_fract_x
_atom_site_fract_y
_atom_site_fract_z
_atom_site_occupancy
Tb1 Tb 0.000 0.000 0.000 1
Tm1 Tm 0.202 0.202 0.202 1
Tm2 Tm 0.395 0.395 0.395 1
Tm3 Tm 0.605 0.605 0.605 1
Tm4 Tm 0.798 0.798 0.798 1
Cd1 Cd 0.101 0.101 0.101 1
Cd2 Cd 0.899 0.899 0.899 1
```

---

No. 4
First-principles (GGA-PBE) data for a geometry-optimized CsLaMgBr6 structure, as listed in the Alexandria database.

Results
**Calculated volume**: 769.6 Å³ per cell
**Energy**: -3.7247 eV/atom
**Theoretical density**: 3.35 g cm⁻³
**SG**: P-31c (163)
**ΔE_f (raw)**: -1.79 eV/atom

```
data_CsLaMgBr6
_chemical_formula_sum 'Cs2 La2 Mg2 Br12'
_symmetry_space_group_name_H-M 'P 1'
_symmetry_Int_Tables_number 1
_cell_length_a 7.411
_cell_length_b 7.411
_cell_length_c 16.183
_cell_angle_alpha 90.00
_cell_angle_beta 90.00
_cell_angle_gamma 120.00
loop_
_symmetry_equiv_pos_as_xyz
'x,y,z'
loop_
_atom_site_label
_atom_site_type_symbol
_atom_site_fract_x
_atom_site_fract_y
_atom_site_fract_z
_atom_site_occupancy
Cs1 Cs 0.000 0.000 0.000 1
Cs2 Cs 0.000 0.000 0.500 1
La1 La 0.333 0.667 0.250 1
La2 La 0.667 0.333 0.750 1
Mg1 Mg 0.333 0.667 0.750 1
Mg2 Mg 0.667 0.333 0.250 1
Br1 Br 0.024 0.386 0.650 1
Br2 Br 0.024 0.638 0.850 1
Br3 Br 0.362 0.386 0.850 1
Br4 Br 0.362 0.976 0.650 1
Br5 Br 0.386 0.024 0.150 1
Br6 Br 0.386 0.362 0.350 1
Br7 Br 0.614 0.638 0.650 1
Br8 Br 0.614 0.976 0.850 1
Br9 Br 0.638 0.024 0.350 1
Br10 Br 0.638 0.614 0.150 1
Br11 Br 0.976 0.362 0.150 1
Br12 Br 0.976 0.614 0.350 1
```

---

No. 5
First-principles (GGA-PBE) data for a geometry-optimized PmMnTlTe3 structure, as listed in the Alexandria database.

Results
**Calculated volume**: 430.8 Å³ per cell
**Energy**: -5.0185 eV/atom
**Theoretical density**: 6.07 g cm⁻³
**SG**: P2_1/m (11)
**ΔE_f (raw)**: -0.73 eV/atom

```
data_PmMnTlTe3
_chemical_formula_sum 'Pm2 Mn2 Tl2 Te6'
_symmetry_space_group_name_H-M 'P 1'
_symmetry_Int_Tables_number 1
_cell_length_a 9.665
_cell_length_b 4.508
_cell_length_c 10.284
_cell_angle_alpha 90.00
_cell_angle_beta 105.97
_cell_angle_gamma 90.00
loop_
_symmetry_equiv_pos_as_xyz
'x,y,z'
loop_
_atom_site_label
_atom_site_type_symbol
_atom_site_fract_x
_atom_site_fract_y
_atom_site_fract_z
_atom_site_occupancy
Pm1 Pm 0.171 0.250 0.143 1
Pm2 Pm 0.829 0.750 0.857 1
Mn1 Mn 0.415 0.750 0.397 1
Mn2 Mn 0.585 0.250 0.603 1
Tl1 Tl 0.297 0.750 0.780 1
Tl2 Tl 0.703 0.250 0.220 1
Te1 Te 0.046 0.250 0.828 1
Te2 Te 0.289 0.250 0.473 1
Te3 Te 0.399 0.750 0.132 1
Te4 Te 0.601 0.250 0.868 1
Te5 Te 0.711 0.750 0.527 1
Te6 Te 0.954 0.750 0.172 1
```

---

No. 6
First-principles (GGA-PBE) data for a geometry-optimized InReSb structure, as listed in the Alexandria database.

Results
**Relative energy among the computed polymorphs**: 47 meV per atom
**Calculated volume**: 66.0 Å³ per cell
**Energy**: -5.9594 eV/atom
**Theoretical density**: 10.64 g cm⁻³
**SG**: I4mm (107)
**ΔE_f (raw)**: 0.48 eV/atom

```
data_InReSb
_chemical_formula_sum 'In1 Re1 Sb1'
_symmetry_space_group_name_H-M 'P 1'
_symmetry_Int_Tables_number 1
_cell_length_a 6.868
_cell_length_b 6.868
_cell_length_c 6.868
_cell_angle_alpha 153.15
_cell_angle_beta 153.15
_cell_angle_gamma 38.34
loop_
_symmetry_equiv_pos_as_xyz
'x,y,z'
loop_
_atom_site_label
_atom_site_type_symbol
_atom_site_fract_x
_atom_site_fract_y
_atom_site_fract_z
_atom_site_occupancy
In1 In 0.000 0.000 0.000 1
Re1 Re 0.641 0.641 0.000 1
Sb1 Sb 0.266 0.266 0.000 1
```

---

No. 7
First-principles (GGA-PBE) data for a geometry-optimized BeAgPb structure, as listed in the Alexandria database.

Results
**Relative energy among the computed polymorphs**: 17 meV per atom
**Calculated volume**: 58.9 Å³ per cell
**Energy of formation**: 0.37 eV/atom
**Energy**: -3.0574 eV/atom
**Theoretical density**: 9.13 g cm⁻³
**SG**: I4mm (107)

```
data_BeAgPb
_chemical_formula_sum 'Be1 Ag1 Pb1'
_symmetry_space_group_name_H-M 'P 1'
_symmetry_Int_Tables_number 1
_cell_length_a 6.066
_cell_length_b 6.066
_cell_length_c 6.066
_cell_angle_alpha 149.02
_cell_angle_beta 149.02
_cell_angle_gamma 44.38
loop_
_symmetry_equiv_pos_as_xyz
'x,y,z'
loop_
_atom_site_label
_atom_site_type_symbol
_atom_site_fract_x
_atom_site_fract_y
_atom_site_fract_z
_atom_site_occupancy
Be1 Be 0.000 0.000 0.000 1
Ag1 Ag 0.584 0.584 0.000 1
Pb1 Pb 0.304 0.304 0.000 1
```

---

No. 8
First-principles (GGA-PBE) data for a geometry-optimized Sc4CdPd2Au structure, as listed in the Alexandria database.

Results
**Calculated volume**: 155.9 Å³ per cell
**Energy of formation**: -0.70 eV/atom
**Energy**: -5.6888 eV/atom
**Theoretical density**: 7.48 g cm⁻³
**SG**: R-3m (166)

```
data_Sc4CdPd2Au
_chemical_formula_sum 'Sc4 Cd1 Pd2 Au1'
_symmetry_space_group_name_H-M 'P 1'
_symmetry_Int_Tables_number 1
_cell_length_a 8.342
_cell_length_b 8.342
_cell_length_c 8.342
_cell_angle_alpha 33.31
_cell_angle_beta 33.31
_cell_angle_gamma 33.31
loop_
_symmetry_equiv_pos_as_xyz
'x,y,z'
loop_
_atom_site_label
_atom_site_type_symbol
_atom_site_fract_x
_atom_site_fract_y
_atom_site_fract_z
_atom_site_occupancy
Sc1 Sc 0.121 0.121 0.121 1
Sc2 Sc 0.372 0.372 0.372 1
Sc3 Sc 0.628 0.628 0.628 1
Sc4 Sc 0.879 0.879 0.879 1
Cd1 Cd 0.500 0.500 0.500 1
Pd1 Pd 0.244 0.244 0.244 1
Pd2 Pd 0.756 0.756 0.756 1
Au1 Au 0.000 0.000 0.000 1
```

---

No. 9
First-principles (GGA-PBE) data for a geometry-optimized RbSrMnI2 structure, as listed in the Alexandria database.

Results
**Calculated volume**: 205.3 Å³ per cell
**Energy**: -3.1515 eV/atom
**Theoretical density**: 3.90 g cm⁻³
**SG**: P4/mmm (123)
**ΔE_f (raw)**: -0.17 eV/atom

```
data_RbSrMnI2
_chemical_formula_sum 'Rb1 Sr1 Mn1 I2'
_symmetry_space_group_name_H-M 'P 1'
_symmetry_Int_Tables_number 1
_cell_length_a 5.978
_cell_length_b 5.978
_cell_length_c 5.746
_cell_angle_alpha 90.00
_cell_angle_beta 90.00
_cell_angle_gamma 90.00
loop_
_symmetry_equiv_pos_as_xyz
'x,y,z'
loop_
_atom_site_label
_atom_site_type_symbol
_atom_site_fract_x
_atom_site_fract_y
_atom_site_fract_z
_atom_site_occupancy
Rb1 Rb 0.000 0.000 0.000 1
Sr1 Sr 0.500 0.500 0.000 1
Mn1 Mn 0.500 0.500 0.500 1
I1 I 0.000 0.500 0.500 1
I2 I 0.500 0.000 0.500 1
```

---

No. 10
First-principles (GGA-PBE) data for a geometry-optimized Sc3ReC structure, as listed in the Alexandria database.

Results
**Relative energy among the computed polymorphs**: 0 meV per atom
**Calculated volume**: 87.2 Å³ per cell
**Energy of formation**: 0.02 eV/atom
**Energy**: -8.1129 eV/atom
**Theoretical density**: 6.34 g cm⁻³
**SG**: Pm-3m (221)

```
data_Sc3ReC
_chemical_formula_sum 'Sc3 Re1 C1'
_symmetry_space_group_name_H-M 'P 1'
_symmetry_Int_Tables_number 1
_cell_length_a 4.434
_cell_length_b 4.434
_cell_length_c 4.434
_cell_angle_alpha 90.00
_cell_angle_beta 90.00
_cell_angle_gamma 90.00
loop_
_symmetry_equiv_pos_as_xyz
'x,y,z'
loop_
_atom_site_label
_atom_site_type_symbol
_atom_site_fract_x
_atom_site_fract_y
_atom_site_fract_z
_atom_site_occupancy
Sc1 Sc 0.000 0.000 0.500 1
Sc2 Sc 0.000 0.500 0.000 1
Sc3 Sc 0.500 0.000 0.000 1
Re1 Re 0.500 0.500 0.500 1
C1 C 0.000 0.000 0.000 1
```

---

No. 11
First-principles (GGA-PBE) data for a geometry-optimized Dy8Ge3CSe4 structure, as listed in the Alexandria database.

Results
**Calculated volume**: 381.8 Å³ per cell
**Energy**: -5.9021 eV/atom
**Theoretical density**: 8.03 g cm⁻³
**SG**: R-3m (166)
**ΔE_f (raw)**: -1.29 eV/atom

```
data_Dy8Ge3CSe4
_chemical_formula_sum 'Dy8 Ge3 C1 Se4'
_symmetry_space_group_name_H-M 'P 1'
_symmetry_Int_Tables_number 1
_cell_length_a 8.191
_cell_length_b 8.191
_cell_length_c 8.191
_cell_angle_alpha 59.23
_cell_angle_beta 59.23
_cell_angle_gamma 59.23
loop_
_symmetry_equiv_pos_as_xyz
'x,y,z'
loop_
_atom_site_label
_atom_site_type_symbol
_atom_site_fract_x
_atom_site_fract_y
_atom_site_fract_z
_atom_site_occupancy
Dy1 Dy 0.247 0.247 0.247 1
Dy2 Dy 0.263 0.730 0.730 1
Dy3 Dy 0.270 0.270 0.737 1
Dy4 Dy 0.270 0.737 0.270 1
Dy5 Dy 0.730 0.263 0.730 1
Dy6 Dy 0.730 0.730 0.263 1
Dy7 Dy 0.737 0.270 0.270 1
Dy8 Dy 0.753 0.753 0.753 1
Ge1 Ge 0.000 0.000 0.500 1
Ge2 Ge 0.000 0.500 0.000 1
Ge3 Ge 0.500 0.000 0.000 1
C1 C 0.500 0.500 0.500 1
Se1 Se 0.000 0.000 0.000 1
Se2 Se 0.000 0.500 0.500 1
Se3 Se 0.500 0.000 0.500 1
Se4 Se 0.500 0.500 0.000 1
```